No. 1
Crystalline LiHfCl2 at its relaxed geometry. Source: the Alexandria database, functional PBE.

a = 5.941 Å, b = 5.941 Å, c = 9.779 Å
α = 90.00°, β = 90.00°, γ = 90.00°
Space group I-42d (No. 122)
Unique sites:
Li 0.000 0.000 0.000 x4
Hf 0.000 0.000 0.500 x4
Cl 0.210 0.250 0.125 x8

The energy relative to the lowest polymorph listed for this composition is 2.049 eV per formula unit. The formation energy (no corrections) comes out at -228 kJ/mol of formula units.


No. 2
Crystalline LiHf2Cl8 at its relaxed geometry. Source: the Alexandria database, functional PBE.

a = 13.090 Å, b = 7.124 Å, c = 6.822 Å
α = 90.00°, β = 94.04°, γ = 90.00°
Space group C2/m (No. 12)
Unique sites:
Li 0.000 0.000 0.000 x2
Hf 0.244 0.500 0.492 x4
Cl 0.132 0.500 0.208 x4
Cl 0.140 0.244 0.644 x8
Cl 0.147 0.000 0.194 x4

The energy relative to the lowest polymorph listed for this composition is 0.000 eV per formula unit. The formation energy (no corrections) comes out at -1821 kJ/mol of formula units.


No. 3
Crystalline LiHfCl6 at its relaxed geometry. Source: the Alexandria database, functional PBE.

a = 6.331 Å, b = 6.493 Å, c = 6.796 Å
α = 118.38°, β = 91.24°, γ = 111.51°
Space group P-1 (No. 2)
Unique sites:
Li 0.000 0.000 0.000 x1
Hf 0.500 0.000 0.500 x1
Cl 0.157 0.891 0.650 x2
Cl 0.250 0.836 0.135 x2
Cl 0.471 0.548 0.332 x2

The formation energy (no corrections) comes out at -1135 kJ/mol of formula units.


No. 4
Crystalline LiHfCl2 at its relaxed geometry. Source: the Alexandria database, functional PBE.

a = 6.403 Å, b = 6.403 Å, c = 6.403 Å
α = 90.00°, β = 90.00°, γ = 90.00°
Space group Fm-3m (No. 225)
Unique sites:
Li 0.000 0.000 0.000 x4
Hf 0.000 0.000 0.500 x4
Cl 0.250 0.250 0.250 x8

The energy relative to the lowest polymorph listed for this composition is 2.653 eV per formula unit. The formation energy (no corrections) comes out at -170 kJ/mol of formula units.


No. 5
Crystalline Li2HfCl6 at its relaxed geometry. Source: the Alexandria database, functional PBE.

a = 6.134 Å, b = 6.412 Å, c = 10.884 Å
α = 90.00°, β = 90.00°, γ = 90.00°
Space group Pnnm (No. 58)
Unique sites:
Li 0.000 0.000 0.176 x4
Hf 0.000 0.500 0.000 x2
Cl 0.222 0.182 0.000 x4
Cl 0.229 0.662 0.160 x8

The formation energy (no corrections) comes out at -1593 kJ/mol of formula units.


No. 6
Crystalline LiHfCl2 at its relaxed geometry. Source: the Alexandria database, functional PBE.

a = 3.2629 Å, b = 3.2629 Å, c = 28.2666 Å
α = 90.00°, β = 90.00°, γ = 120.00°
Space group R-3m (No. 166, hexagonal axes)
Unique sites:
Li 0.0000 0.0000 0.0000 x3
Hf 0.0000 0.0000 0.5000 x3
Cl 0.0000 0.0000 0.1015 x6

The energy relative to the lowest polymorph listed for this composition is 0.649 eV per formula unit. The formation energy (no corrections) comes out at -363 kJ/mol of formula units.


No. 7
Crystalline Li3HfCl at its relaxed geometry. Source: the Alexandria database, functional PBE.

a = 4.613 Å, b = 4.613 Å, c = 4.613 Å
α = 90.00°, β = 90.00°, γ = 90.00°
Space group Pm-3m (No. 221)
Unique sites:
Li 0.000 0.000 0.500 x3
Hf 0.500 0.500 0.500 x1
Cl 0.000 0.000 0.000 x1

The energy relative to the lowest polymorph listed for this composition is 0.000 eV per formula unit. The formation energy (no corrections) comes out at 61 kJ/mol of formula units.


No. 8
Crystalline LiHf2Cl at its relaxed geometry. Source: the Alexandria database, functional PBE.

a = 6.670 Å, b = 6.670 Å, c = 6.670 Å
α = 90.00°, β = 90.00°, γ = 90.00°
Space group Fm-3m (No. 225)
Unique sites:
Li 0.000 0.000 0.000 x4
Hf 0.250 0.250 0.250 x8
Cl 0.000 0.000 0.500 x4

The energy relative to the lowest polymorph listed for this composition is 0.132 eV per formula unit. The formation energy (no corrections) comes out at 113 kJ/mol of formula units.


No. 9
Crystalline LiHf3Cl at its relaxed geometry. Source: the Alexandria database, functional PBE.

a = 4.767 Å, b = 4.767 Å, c = 4.767 Å
α = 90.00°, β = 90.00°, γ = 90.00°
Space group Pm-3m (No. 221)
Unique sites:
Li 0.000 0.000 0.000 x1
Hf 0.000 0.500 0.500 x3
Cl 0.500 0.500 0.500 x1

The energy relative to the lowest polymorph listed for this composition is 0.000 eV per formula unit. The formation energy (no corrections) comes out at 142 kJ/mol of formula units.


No. 10
Crystalline LiHfMn2Cl at its relaxed geometry. Source: the Alexandria database, functional PBE.

a = 4.474 Å, b = 4.474 Å, c = 4.105 Å
α = 90.00°, β = 90.00°, γ = 90.00°
Space group P4/mmm (No. 123)
Unique sites:
Li 0.000 0.000 0.000 x1
Hf 0.500 0.500 0.000 x1
Mn 0.000 0.500 0.500 x2
Cl 0.000 0.000 0.500 x1

The formation energy (no corrections) comes out at 194 kJ/mol of formula units.


No. 11
Crystalline NaLiHfCl6 at its relaxed geometry. Source: the Alexandria database, functional PBE.

a = 6.5240 Å, b = 6.5240 Å, c = 12.4495 Å
α = 90.00°, β = 90.00°, γ = 120.00°
Space group P-31c (No. 163)
Unique sites:
Na 0.0000 0.0000 0.0000 x2
Li 0.3333 0.6667 0.2500 x2
Hf 0.3333 0.6667 0.7500 x2
Cl 0.0146 0.3669 0.6366 x12

The formation energy (no corrections) comes out at -1608 kJ/mol of formula units.


No. 12
Crystalline LiHfPCl2 at its relaxed geometry. Source: the Alexandria database, functional PBE.

a = 4.171 Å, b = 4.171 Å, c = 5.341 Å
α = 90.00°, β = 90.00°, γ = 90.00°
Space group P4/mmm (No. 123)
Unique sites:
Li 0.000 0.000 0.000 x1
Hf 0.500 0.500 0.500 x1
P 0.000 0.000 0.500 x1
Cl 0.000 0.500 0.000 x2

The energy relative to the lowest polymorph listed for this composition is 2.769 eV per formula unit. The formation energy (no corrections) comes out at -167 kJ/mol of formula units.


no.,spin magnetization (μB/f.u.)
1,1.0
2,0.0
3,1.0
4,0.6
5,0.0
6,0.0
7,0.0
8,0.0
9,0.0
10,4.7
11,0.0
12,0.0